#a
Compound: BaTcS2N
Source: Alexandria via LeMat-Bulk
Functional: PBE
Structure: relaxed

Computed properties:
ρ	5.4	g/cm3
crystal system	tetragonal
magnetic moment	0.89	μB per formula unit
DOS at the Fermi energy	2.38	states/eV/cell

```
BaTcS2N
1.0
5.0221 0.0000 0.0000
0.0000 5.0221 0.0000
0.0000 0.0000 3.8545
Ba Tc S N
1 1 2 1
Cartesian
0.0000 0.0000 0.0000
2.5110 2.5110 1.9273
0.0000 2.5110 1.9273
2.5110 0.0000 1.9273
2.5110 2.5110 0.0000
```

#b
Compound: BaTcS2N
Source: Alexandria via LeMat-Bulk
Functional: PBE
Structure: relaxed

Computed properties:
ρ	3.7	g/cm3
crystal system	tetragonal
magnetic moment	4.91	μB per formula unit
DOS at the Fermi energy	6.94	states/eV/cell

```
BaTcS2N
1.0
5.6416 0.0000 0.0000
0.0000 5.6416 0.0000
0.0000 0.0000 4.3632
Ba Tc S N
1 1 2 1
Cartesian
0.0000 0.0000 0.0000
2.8208 2.8208 2.1816
0.0000 2.8208 0.0000
2.8208 0.0000 0.0000
0.0000 0.0000 2.1816
```

Which of them is the most stable? Correct choice: #a.

#a
Compound: BaTe2SN
Source: Alexandria via LeMat-Bulk
Functional: PBE
Structure: relaxed

Computed properties:
ρ	5.3	g/cm3
crystal system	tetragonal
magnetic moment	0.07	μB per formula unit
DOS at the Fermi energy	1.63	states/eV/cell

```
BaTe2SN
1.0
6.4129 0.0000 0.0000
0.0000 6.4129 0.0000
0.0000 0.0000 3.3595
Ba Te S N
1 2 1 1
Cartesian
0.0000 0.0000 0.0000
0.0000 3.2065 1.6797
3.2065 0.0000 1.6797
3.2065 3.2065 1.6797
3.2065 3.2065 0.0000
```

#b
Compound: BaTe2SN
Source: Alexandria via LeMat-Bulk
Functional: PBE
Structure: relaxed

Computed properties:
ρ	2.9	g/cm3
crystal system	tetragonal
magnetic moment	7.05	μB per formula unit
DOS at the Fermi energy	5.56	states/eV/cell

```
BaTe2SN
1.0
6.8368 0.0000 0.0000
0.0000 6.8368 0.0000
0.0000 0.0000 5.3070
Ba Te S N
1 2 1 1
Cartesian
0.0000 0.0000 0.0000
0.0000 3.4184 0.0000
3.4184 0.0000 0.0000
3.4184 3.4184 2.6535
0.0000 0.0000 2.6535
```

Which of them is the most stable? Correct choice: #a.